NaTl2In at its PBEsol-relaxed geometry. Source: the Alexandria database, functional meta-GGA SCAN.

Properties
Its raw total energy is -182.86 eV for the cell shown. The value obtained for the density of states at the Fermi level is 1.39 states/eV/f.u. As for the crystal system: cubic. The magnetic moment comes out at 0.00 μB/cell.

Cell and atoms, written as POSCAR:
```
NaTl2In
1.0
5.264 0.000 0.000
2.632 4.559 0.000
2.632 1.520 4.298
Na Tl In
1 2 1
Cartesian
0.000 0.000 0.000 Na
2.632 1.520 1.074 Tl
7.896 4.559 3.223 Tl
5.264 3.039 2.149 In
```